Entry from Alexandria: a relaxed CsMoPtSe2 crystal (PBE).

The value obtained for the energy is -4.19 eV/atom. As for the uncorrected formation energy: 3.7 eV per formula unit. The value obtained for the total magnetization is 0.12 μB per formula unit.

The space group is P4/mmm (No. 123) and the conventional cell measures 4.843, 4.843 and 6.185 Å, with angles of 90.00, 90.00 and 90.00 degrees. The distinct sites, in fractional coordinates, are Cs at (0.000, 0.000, 0.000), Mo at (0.000, 0.000, 0.500), Pt at (0.500, 0.500, 0.000) and Se at (0.000, 0.500, 0.500).